Material: KInSnPb2
Method: DFT, GGA-PBE
State: relaxed Values from VASP.

Properties
ρ: 6435 kg/m3
size of the total moment: 0.000 μB/f.u.
calculated volume: 177.3 Å³/f.u.
crystal system: tetragonal
ΔH_f (0 K): -88 meV per atom

```
&SYSTEM
  ibrav = 0, nat = 5, ntyp = 4
/
ATOMIC_SPECIES
K 39.10 K.upf
In 114.82 In.upf
Sn 118.71 Sn.upf
Pb 207.20 Pb.upf
ATOMIC_POSITIONS crystal
K 0.000 0.000 0.000
In 0.750 0.250 0.500
Sn 0.250 0.750 0.500
Pb 0.617 0.617 0.234
Pb 0.383 0.383 0.766
CELL_PARAMETERS angstrom
4.958 0.000 0.000
0.000 4.958 0.000
-2.479 -2.479 7.213
```


Material: LiAgRu
Method: DFT, GGA-PBE
State: relaxed Values from VASP.

Properties
ρ: 7370 kg/m3
ΔE to the lowest computed polymorph: 671 meV per atom
size of the total moment: 1.692 μB/f.u.
calculated volume: 48.6 Å³/f.u.
crystal system: cubic
ΔH_f (0 K): 895 meV per atom

```
&SYSTEM
  ibrav = 0, nat = 3, ntyp = 3
/
ATOMIC_SPECIES
Ag 107.87 Ag.upf
Li 6.94 Li.upf
Ru 101.07 Ru.upf
ATOMIC_POSITIONS crystal
Ag 0.500 0.500 0.500
Li 0.750 0.750 0.750
Ru 0.000 0.000 0.000
CELL_PARAMETERS angstrom
-1.802 -3.646 0.494
0.628 -2.983 -2.738
2.244 -3.274 1.016
```


Material: HgPdS
Method: DFT, GGA-PBE
State: relaxed Values from VASP.

Properties
ρ: 8623 kg/m3
ΔE to the lowest computed polymorph: 110 meV per atom
size of the total moment: 0.000 μB/f.u.
calculated volume: 65.3 Å³/f.u.
crystal system: triclinic

```
&SYSTEM
  ibrav = 0, nat = 6, ntyp = 3
/
ATOMIC_SPECIES
S 32.06 S.upf
Hg 200.59 Hg.upf
Pd 106.42 Pd.upf
ATOMIC_POSITIONS crystal
S 0.116 0.506 0.176
S 0.167 0.505 0.594
Hg 0.478 0.005 0.209
Hg 0.727 0.007 0.862
Pd 0.185 0.005 0.574
Pd 0.648 0.506 0.392
CELL_PARAMETERS angstrom
-3.275 1.207 0.697
-1.467 -4.484 0.835
2.181 0.680 7.317
```


Material: BaLi2MgGe
Method: DFT, GGA-PBE
State: relaxed Values from VASP.

Properties
ρ: 2951 kg/m3
size of the total moment: 0.463 μB/f.u.
calculated volume: 139.6 Å³/f.u.
crystal system: tetragonal
ΔH_f (0 K): -134 meV per atom

```
&SYSTEM
  ibrav = 0, nat = 5, ntyp = 4
/
ATOMIC_SPECIES
Mg 24.30 Mg.upf
Ge 72.64 Ge.upf
Ba 137.33 Ba.upf
Li 6.94 Li.upf
ATOMIC_POSITIONS crystal
Mg 0.000 0.000 0.500
Ge 0.000 0.000 0.000
Ba 0.500 0.500 0.500
Li 0.000 0.500 0.000
Li 0.500 0.000 0.000
CELL_PARAMETERS angstrom
5.133 0.000 0.000
0.000 5.133 0.000
0.000 0.000 5.300
```


Material: BaS2F
Method: DFT, GGA-PBE
State: relaxed Values from VASP.

Properties
ρ: 3990 kg/m3
ΔE to the lowest computed polymorph: 807 meV per atom
size of the total moment: 0.000 μB/f.u.
calculated volume: 91.7 Å³/f.u.
crystal system: trigonal

```
&SYSTEM
  ibrav = 0, nat = 4, ntyp = 3
/
ATOMIC_SPECIES
S 32.06 S.upf
Ba 137.33 Ba.upf
F 19.00 F.upf
ATOMIC_POSITIONS crystal
S 0.808 0.808 0.808
S 0.192 0.192 0.192
Ba 0.000 0.000 0.000
F 0.500 0.500 0.500
CELL_PARAMETERS angstrom
-5.090 -2.446 -0.471
-1.600 -5.432 -0.211
-3.015 -3.214 3.563
```


Material: Li2MnPb2
Method: DFT, GGA-PBE
State: relaxed Values from VASP.

Properties
ρ: 7232 kg/m3
ΔE to the lowest computed polymorph: 0 meV per atom
size of the total moment: 4.098 μB/f.u.
calculated volume: 111.0 Å³/f.u.
crystal system: tetragonal
ΔH_f (0 K): 78 meV per atom

```
&SYSTEM
  ibrav = 0, nat = 10, ntyp = 3
/
ATOMIC_SPECIES
Pb 207.20 Pb.upf
Mn 54.94 Mn.upf
Li 6.94 Li.upf
ATOMIC_POSITIONS crystal
Pb 0.347 0.847 0.000
Pb 0.847 0.653 0.000
Pb 0.653 0.153 0.000
Pb 0.153 0.347 0.000
Mn 0.000 0.000 0.000
Mn 0.500 0.500 0.000
Li 0.150 0.650 0.500
Li 0.650 0.850 0.500
Li 0.850 0.350 0.500
Li 0.350 0.150 0.500
CELL_PARAMETERS angstrom
7.546 0.000 0.000
0.000 7.546 0.000
0.000 0.000 3.897
```


Material: Na3YPd3O8
Method: DFT, GGA-PBE
State: relaxed Values from VASP.

Properties
ρ: 4952 kg/m3
size of the total moment: 0.000 μB/f.u.
calculated volume: 202.9 Å³/f.u.
crystal system: monoclinic
E_tot: -5.580 eV/atom

```
&SYSTEM
  ibrav = 0, nat = 15, ntyp = 4
/
ATOMIC_SPECIES
Na 22.99 Na.upf
Y 88.91 Y.upf
Pd 106.42 Pd.upf
O 16.00 O.upf
ATOMIC_POSITIONS crystal
Na 0.000 0.000 0.000
Na 0.000 0.500 0.000
Na 0.500 0.500 0.000
Y 0.000 0.000 0.500
Pd 0.500 0.000 0.500
Pd 0.500 0.500 0.500
Pd 0.000 0.500 0.500
O 0.222 0.445 0.263
O 0.778 0.555 0.737
O 0.775 0.550 0.303
O 0.225 0.450 0.697
O 0.777 0.098 0.324
O 0.223 0.902 0.676
O 0.321 0.098 0.324
O 0.679 0.902 0.676
CELL_PARAMETERS angstrom
6.160 0.000 0.000
-3.080 5.880 0.459
0.000 -3.445 5.333
```


Material: Nd2ThZn3
Method: DFT, GGA-PBE
State: relaxed Values from VASP.

Properties
ρ: 7968 kg/m3
ΔE to the lowest computed polymorph: 5 meV per atom
size of the total moment: 0.000 μB/f.u.
calculated volume: 149.4 Å³/f.u.
crystal system: trigonal
ΔH_f (0 K): -254 meV per atom

```
&SYSTEM
  ibrav = 0, nat = 6, ntyp = 3
/
ATOMIC_SPECIES
Nd 144.24 Nd.upf
Th 232.04 Th.upf
Zn 65.41 Zn.upf
ATOMIC_POSITIONS crystal
Nd 0.667 0.333 0.335
Nd 0.333 0.667 0.665
Th 0.000 0.000 0.000
Zn 0.000 0.000 0.500
Zn 0.667 0.333 0.838
Zn 0.333 0.667 0.162
CELL_PARAMETERS angstrom
5.204 0.000 0.000
-2.602 4.506 0.000
0.000 0.000 6.370
```